The following is a GGA-PBE calculation of a geometry-optimized BePSe4 structure, from the Alexandria database.

Cell lengths 5.5642, 5.5642, 5.5642 Å; angles 60.00, 60.00, 60.00 degrees
Sites, in units of the cell vectors:
1 Se 0.3755 0.3755 0.3755
2 Se 0.3755 0.3755 0.8734
3 P 0.0000 0.0000 0.0000
4 Be 0.7500 0.7500 0.7500
5 Se 0.3755 0.8734 0.3755
6 Se 0.8734 0.3755 0.3755

Computed properties:
**E_tot**: -16.3 eV per cell
**E_form (uncorrected)**: 1.1219 eV per atom